[1]
The following is a GGA-PBE calculation of crystalline ZrCdRu at its relaxed geometry, from Alexandria via LeMat-Bulk.

a b c (Å): 4.6201 4.6201 3.0231
angles (deg): 90.00 90.00 120.00
Fractional coordinates of all 3 atoms:
Zr 0.0000 0.0000 0.0000
Cd 0.3333 0.6667 0.4211
Ru 0.6667 0.3333 0.7539

Properties
Energy above the lowest structure with this stoichiometry   235 meV per atom
Energy of formation   -1.36 kcal/mol of atoms
ρ   9.05 Mg/m³



[2]
The following is a GGA-PBE calculation of crystalline Ho2AlGa5 at its relaxed geometry, from Alexandria via LeMat-Bulk.

a b c (Å): 5.9886 5.9886 5.9886
angles (deg): 119.48 119.48 90.91
Fractional coordinates of all 8 atoms:
Ho 0.0000 0.5000 0.5000
Ho 0.5000 0.0000 0.5000
Al 0.4972 0.4972 0.0000
Ga 0.0032 0.0032 0.0000
Ga 0.5018 0.5018 0.5035
Ga 0.5018 0.9983 0.0000
Ga 0.9983 0.5018 0.0000
Ga 0.9983 0.9983 0.4965

Properties
Energy of formation   -11.55 kcal/mol of atoms
ρ   7.65 Mg/m³



[3]
The following is a GGA-PBE calculation of crystalline Hf6AsC3 at its relaxed geometry, from Alexandria via LeMat-Bulk.

a b c (Å): 10.0549 3.3808 10.3430
angles (deg): 90.00 114.56 90.00
Fractional coordinates of all 20 atoms:
Hf 0.0304 0.2500 0.3851
Hf 0.1049 0.7500 0.9377
Hf 0.2328 0.7500 0.2764
Hf 0.2564 0.2500 0.7876
Hf 0.4296 0.2500 0.5759
Hf 0.4391 0.2500 0.1148
Hf 0.5609 0.7500 0.8852
Hf 0.5704 0.7500 0.4241
Hf 0.7436 0.7500 0.2124
Hf 0.7672 0.2500 0.7236
Hf 0.8951 0.2500 0.0623
Hf 0.9696 0.7500 0.6149
As 0.2209 0.7500 0.5677
As 0.7791 0.2500 0.4323
C 0.0271 0.2500 0.7800
C 0.3445 0.7500 0.9483
C 0.4049 0.2500 0.3399
C 0.5951 0.7500 0.6601
C 0.6555 0.2500 0.0517
C 0.9729 0.7500 0.2200

Properties
Energy of formation   -16.93 kcal/mol of atoms
ρ   12.27 Mg/m³



[4]
The following is a GGA-PBE calculation of crystalline Mn2CdMo at its relaxed geometry, from Alexandria via LeMat-Bulk.

a b c (Å): 4.4750 4.4750 4.4750
angles (deg): 60.00 60.00 60.00
Fractional coordinates of all 4 atoms:
Mn 0.0000 0.0000 0.0000
Mn 0.2500 0.2500 0.2500
Cd 0.5000 0.5000 0.5000
Mo 0.7500 0.7500 0.7500

Properties
Energy of formation   12.25 kcal/mol of atoms
ρ   8.34 Mg/m³



[5]
The following is a GGA-PBE calculation of crystalline TcSbPt2 at its relaxed geometry, from Alexandria via LeMat-Bulk.

a b c (Å): 8.8941 8.8941 8.8941
angles (deg): 19.48 19.48 19.48
Fractional coordinates of all 4 atoms:
Tc 0.0000 0.0000 0.0000
Sb 0.2512 0.2512 0.2512
Pt 0.5000 0.5000 0.5000
Pt 0.7461 0.7461 0.7461

Properties
E_form (uncorrected)   20.8 kJ per mole of atoms
ρ   14.80 Mg/m³



[6]
The following is a GGA-PBE calculation of crystalline ThTc4P4 at its relaxed geometry, from Alexandria via LeMat-Bulk.

a b c (Å): 5.9779 5.9779 7.8992
angles (deg): 90.00 90.00 90.00
Fractional coordinates of all 18 atoms:
Th 0.2500 0.7500 0.2500
Th 0.7500 0.2500 0.7500
Tc 0.0105 0.2500 0.1252
Tc 0.2500 0.0105 0.6252
Tc 0.2500 0.4895 0.6252
Tc 0.4895 0.2500 0.1252
Tc 0.5105 0.7500 0.8748
Tc 0.7500 0.5105 0.3748
Tc 0.7500 0.9895 0.3748
Tc 0.9895 0.7500 0.8748
P 0.0484 0.2500 0.4242
P 0.2500 0.0484 0.9242
P 0.2500 0.4516 0.9242
P 0.4516 0.2500 0.4242
P 0.5484 0.7500 0.5758
P 0.7500 0.5484 0.0758
P 0.7500 0.9516 0.0758
P 0.9516 0.7500 0.5758

Properties
Energy of formation   -13.90 kcal/mol of atoms
ρ   8.80 Mg/m³



[7]
The following is a GGA-PBE calculation of crystalline ZrAlCu at its relaxed geometry, from Alexandria via LeMat-Bulk.

a b c (Å): 5.5976 5.5976 7.2684
angles (deg): 124.83 124.83 34.23
Fractional coordinates of all 6 atoms:
Zr 0.0000 0.0000 0.0000
Zr 0.1697 0.1697 0.6244
Al 0.4054 0.4054 0.2420
Al 0.4450 0.4450 0.6372
Cu 0.7149 0.7149 0.9759
Cu 0.7429 0.7429 0.3588

Properties
Energy of formation   -6.89 kcal/mol of atoms
ρ   5.88 Mg/m³



[8]
The following is a GGA-PBE calculation of crystalline K4ScU3Se8 at its relaxed geometry, from Alexandria via LeMat-Bulk.

a b c (Å): 9.1105 9.1105 9.1105
angles (deg): 54.34 54.34 54.34
Fractional coordinates of all 16 atoms:
K 0.0000 0.0000 0.0000
K 0.0000 0.5000 0.5000
K 0.5000 0.0000 0.5000
K 0.5000 0.5000 0.0000
Sc 0.5000 0.5000 0.5000
U 0.0000 0.0000 0.5000
U 0.0000 0.5000 0.0000
U 0.5000 0.0000 0.0000
Se 0.2372 0.2372 0.2372
Se 0.2457 0.7292 0.7292
Se 0.2708 0.2708 0.7543
Se 0.2708 0.7543 0.2708
Se 0.7292 0.2457 0.7292
Se 0.7292 0.7292 0.2457
Se 0.7543 0.2708 0.2708
Se 0.7628 0.7628 0.7628

Properties
E_form (uncorrected)   -127.3 kJ per mole of atoms
ρ   5.54 Mg/m³



[9]
The following is a GGA-PBE calculation of crystalline Ba2Ga2Pd3 at its relaxed geometry, from Alexandria via LeMat-Bulk.

a b c (Å): 6.4559 6.4559 7.5989
angles (deg): 115.29 115.29 37.37
Fractional coordinates of all 7 atoms:
Ba 0.1318 0.1318 0.2491
Ba 0.8682 0.8682 0.7509
Ga 0.1321 0.1321 0.7165
Ga 0.8679 0.8679 0.2835
Pd 0.3417 0.3417 0.0739
Pd 0.5000 0.5000 0.5000
Pd 0.6583 0.6583 0.9261

Properties
Energy of formation   -13.50 kcal/mol of atoms
ρ   7.10 Mg/m³



[10]
The following is a GGA-PBE calculation of crystalline SrHg2W at its relaxed geometry, from Alexandria via LeMat-Bulk.

a b c (Å): 9.9573 9.9573 9.9573
angles (deg): 149.86 149.86 43.15
Fractional coordinates of all 8 atoms:
Sr 0.0000 0.0000 0.0000
Sr 0.7500 0.2500 0.5000
Hg 0.2322 0.6250 0.1072
Hg 0.3750 0.4822 0.6072
Hg 0.5178 0.1250 0.8928
Hg 0.8750 0.7678 0.3928
W 0.2500 0.7500 0.5000
W 0.5000 0.5000 0.0000

Properties
Energy above the lowest structure with this stoichiometry   363 meV per atom
Energy of formation   20.59 kcal/mol of atoms
ρ   9.00 Mg/m³



[11]
The following is a GGA-PBE calculation of crystalline K2SnAuI5 at its relaxed geometry, from Alexandria via LeMat-Bulk.

a b c (Å): 10.6765 10.6765 15.0598
angles (deg): 90.00 90.00 154.77
Fractional coordinates of all 18 atoms:
K 0.1203 0.8797 0.5000
K 0.1211 0.8789 0.8653
K 0.8789 0.1211 0.3653
K 0.8797 0.1203 0.0000
Sn 0.2031 0.7969 0.1817
Sn 0.7969 0.2031 0.6817
Au 0.4730 0.5270 0.6034
Au 0.5270 0.4730 0.1034
I 0.0411 0.9590 0.1986
I 0.2954 0.7046 0.5317
I 0.2964 0.7036 0.8285
I 0.3513 0.6487 0.1819
I 0.4982 0.5018 0.9276
I 0.5018 0.4982 0.4276
I 0.6487 0.3513 0.6819
I 0.7036 0.2964 0.3285
I 0.7046 0.2954 0.0317
I 0.9590 0.0411 0.6986

Properties
E_form (uncorrected)   -79.7 kJ per mole of atoms
ρ   4.67 Mg/m³



[12]
The following is a GGA-PBE calculation of crystalline TbPd4Au7 at its relaxed geometry, from Alexandria via LeMat-Bulk.

a b c (Å): 5.8706 6.4876 6.5776
angles (deg): 72.53 63.68 76.83
Fractional coordinates of all 12 atoms:
Tb 0.0000 0.0000 0.0000
Pd 0.1644 0.6737 0.3356
Pd 0.4155 0.6645 0.8337
Pd 0.5845 0.3355 0.1663
Pd 0.8356 0.3263 0.6644
Au 0.0888 0.3467 0.1704
Au 0.2540 0.0005 0.4941
Au 0.3367 0.3373 0.6622
Au 0.5000 0.0000 0.0000
Au 0.6633 0.6627 0.3378
Au 0.7460 0.9995 0.5059
Au 0.9112 0.6533 0.8296

Properties
Energy above the lowest structure with this stoichiometry   0 meV per atom
Energy of formation   -7.19 kcal/mol of atoms
ρ   15.32 Mg/m³



[13]
The following is a GGA-PBE calculation of crystalline ScSb2H at its relaxed geometry, from Alexandria via LeMat-Bulk.

a b c (Å): 5.8817 5.8817 5.8817
angles (deg): 110.30 110.30 107.83
Fractional coordinates of all 8 atoms:
Sc 0.0000 0.0000 0.0000
Sc 0.7500 0.2500 0.5000
Sb 0.2170 0.1250 0.5920
Sb 0.3750 0.7830 0.9080
Sb 0.5330 0.6250 0.4080
Sb 0.8750 0.4670 0.0920
H 0.2500 0.7500 0.5000
H 0.5000 0.5000 0.0000

Properties
Energy above the lowest structure with this stoichiometry   0 meV per atom
ρ   6.14 Mg/m³



[14]
The following is a GGA-PBE calculation of crystalline CoTc3Se at its relaxed geometry, from Alexandria via LeMat-Bulk.

a b c (Å): 4.4393 4.4393 4.4393
angles (deg): 90.00 90.00 90.00
Fractional coordinates of all 5 atoms:
Co 0.0000 0.0000 0.0000
Tc 0.0000 0.0000 0.5000
Tc 0.0000 0.5000 0.0000
Tc 0.5000 0.0000 0.0000
Se 0.5000 0.5000 0.5000

Properties
Energy above the lowest structure with this stoichiometry   0 meV per atom
E_form (uncorrected)   137.5 kJ per mole of atoms
ρ   8.20 Mg/m³



[15]
The following is a GGA-PBE calculation of crystalline YZn4 at its relaxed geometry, from Alexandria via LeMat-Bulk.

a b c (Å): 4.6974 6.2338 6.7425
angles (deg): 101.46 106.36 97.03
Fractional coordinates of all 10 atoms:
Y 0.1498 0.1513 0.3550
Y 0.8502 0.8487 0.6450
Zn 0.1038 0.3125 0.9740
Zn 0.2234 0.6502 0.3765
Zn 0.3541 0.5620 0.7562
Zn 0.4829 0.8644 0.1344
Zn 0.5171 0.1356 0.8656
Zn 0.6459 0.4380 0.2438
Zn 0.7766 0.3498 0.6235
Zn 0.8962 0.6875 0.0260

Properties
Energy of formation   -4.94 kcal/mol of atoms
ρ   6.39 Mg/m³



[16]
The following is a GGA-PBE calculation of crystalline Be2InOsF at its relaxed geometry, from Alexandria via LeMat-Bulk.

a b c (Å): 4.5913 4.5913 4.1811
angles (deg): 90.00 90.00 90.00
Fractional coordinates of all 5 atoms:
Be 0.0000 0.5000 0.0000
Be 0.5000 0.0000 0.0000
In 0.0000 0.0000 0.0000
Os 0.5000 0.5000 0.5000
F 0.0000 0.0000 0.5000

Properties
E_form (uncorrected)   121.3 kJ per mole of atoms
ρ   6.44 Mg/m³



[17]
The following is a GGA-PBE calculation of crystalline MgTlF4 at its relaxed geometry, from Alexandria via LeMat-Bulk.

a b c (Å): 5.5852 5.5852 6.2230
angles (deg): 121.53 121.53 34.39
Fractional coordinates of all 6 atoms:
Mg 0.0000 0.0000 0.0000
Tl 0.5000 0.5000 0.5000
F 0.1141 0.1141 0.8290
F 0.3891 0.3891 0.7632
F 0.6109 0.6109 0.2368
F 0.8859 0.8859 0.1710

Properties
E_form (uncorrected)   -239.3 kJ per mole of atoms
ρ   5.51 Mg/m³



[18]
The following is a GGA-PBE calculation of crystalline Li6ClO3 at its relaxed geometry, from Alexandria via LeMat-Bulk.

a b c (Å): 6.8943 6.8943 5.4407
angles (deg): 90.00 90.00 119.04
Fractional coordinates of all 20 atoms:
Li 0.0172 0.9828 0.5000
Li 0.1590 0.4686 0.0530
Li 0.1944 0.8056 0.8002
Li 0.2339 0.3735 0.6120
Li 0.3735 0.2339 0.1120
Li 0.4686 0.1590 0.5530
Li 0.5314 0.8410 0.0530
Li 0.6265 0.7661 0.6120
Li 0.7661 0.6265 0.1120
Li 0.8056 0.1944 0.3002
Li 0.8410 0.5314 0.5530
Li 0.9828 0.0172 0.0000
Cl 0.2060 0.7940 0.2948
Cl 0.7940 0.2060 0.7948
O 0.1129 0.2430 0.2805
O 0.2430 0.1129 0.7805
O 0.3615 0.6385 0.8085
O 0.6385 0.3615 0.3085
O 0.7570 0.8871 0.2805
O 0.8871 0.7570 0.7805

Properties
E_form (uncorrected)   -156.2 kJ per mole of atoms
ρ   1.84 Mg/m³



[19]
The following is a GGA-PBE calculation of crystalline KNa2SrPb at its relaxed geometry, from Alexandria via LeMat-Bulk.

a b c (Å): 6.2162 6.2162 6.5055
angles (deg): 90.00 90.00 90.00
Fractional coordinates of all 5 atoms:
K 0.0000 0.0000 0.0000
Na 0.0000 0.5000 0.5000
Na 0.5000 0.0000 0.5000
Sr 0.5000 0.5000 0.0000
Pb 0.5000 0.5000 0.5000

Properties
Energy of formation   -0.95 kcal/mol of atoms
ρ   2.51 Mg/m³



[20]
The following is a GGA-PBE calculation of crystalline Ca2CdAuO4 at its relaxed geometry, from Alexandria via LeMat-Bulk.

a b c (Å): 6.5105 6.5105 7.2560
angles (deg): 118.15 118.15 86.73
Fractional coordinates of all 16 atoms:
Ca 0.0000 0.0000 0.0000
Ca 0.0000 0.0000 0.5000
Ca 0.0000 0.5000 0.0000
Ca 0.5000 0.0000 0.5000
Cd 0.5000 0.5000 0.0000
Cd 0.5000 0.5000 0.5000
Au 0.0000 0.5000 0.5000
Au 0.5000 0.0000 0.0000
O 0.2140 0.2392 0.4524
O 0.2191 0.7045 0.4238
O 0.2392 0.2140 0.9524
O 0.2955 0.7809 0.0762
O 0.7045 0.2191 0.9238
O 0.7608 0.7860 0.0476
O 0.7809 0.2955 0.5762
O 0.7860 0.7608 0.5476

Properties
E_form (uncorrected)   -160.1 kJ per mole of atoms
ρ   6.45 Mg/m³